1.
# Pa2CrRu, optimized geometry, DFT PBE-GGA
# * E above lowest polymorph: 0.00 kJ per mole of atoms
# * VASP energy: -9.425 eV/atom
# * formation energy from the elements: 0.19 eV per formula unit
# * crystal system: tetragonal
# * density of states at the Fermi level: 6.70 states/eV/f.u.
data_Pa2CrRu
_symmetry_space_group_name_H-M 'P 4/m m m'
_symmetry_Int_Tables_number 123
_symmetry_space_group_name_Hall '-P 4 2'
_cell_length_a 4.742
_cell_length_b 4.742
_cell_length_c 3.492
_cell_angle_alpha 90.00
_cell_angle_beta 90.00
_cell_angle_gamma 90.00
loop_
_atom_site_label
_atom_site_type_symbol
_atom_site_fract_x
_atom_site_fract_y
_atom_site_fract_z
_atom_site_occupancy
Pa1 Pa 0.000 0.500 0.000 1
Cr1 Cr 0.000 0.000 0.500 1
Ru1 Ru 0.500 0.500 0.500 1

=====

2.
# PaCrRu2, optimized geometry, DFT PBE-GGA
# * E above lowest polymorph: 7.99 kJ per mole of atoms
# * VASP energy: -9.566 eV/atom
# * formation energy from the elements: -0.59 eV per formula unit
# * crystal system: trigonal
# * density of states at the Fermi level: 2.51 states/eV/f.u.
data_PaCrRu2
_symmetry_space_group_name_H-M 'R -3 m'
_symmetry_Int_Tables_number 166
_symmetry_space_group_name_Hall '-R 3 2"'
_cell_length_a 4.6362
_cell_length_b 4.6362
_cell_length_c 11.3639
_cell_angle_alpha 90.00
_cell_angle_beta 90.00
_cell_angle_gamma 120.00
loop_
_atom_site_label
_atom_site_type_symbol
_atom_site_fract_x
_atom_site_fract_y
_atom_site_fract_z
_atom_site_occupancy
Pa1 Pa 0.0000 0.0000 0.0000 1
Cr1 Cr 0.0000 0.0000 0.5000 1
Ru1 Ru 0.0000 0.0000 0.2173 1

=====

3.
# PaCrRu2, optimized geometry, DFT PBE-GGA
# * E above lowest polymorph: 0.00 kJ per mole of atoms
# * VASP energy: -9.648 eV/atom
# * formation energy from the elements: -0.92 eV per formula unit
# * crystal system: tetragonal
# * density of states at the Fermi level: 3.80 states/eV/f.u.
data_PaCrRu2
_symmetry_space_group_name_H-M 'P 4/m m m'
_symmetry_Int_Tables_number 123
_symmetry_space_group_name_Hall '-P 4 2'
_cell_length_a 4.290
_cell_length_b 4.290
_cell_length_c 3.675
_cell_angle_alpha 90.00
_cell_angle_beta 90.00
_cell_angle_gamma 90.00
loop_
_atom_site_label
_atom_site_type_symbol
_atom_site_fract_x
_atom_site_fract_y
_atom_site_fract_z
_atom_site_occupancy
Pa1 Pa 0.000 0.000 0.000 1
Cr1 Cr 0.500 0.500 0.000 1
Ru1 Ru 0.000 0.500 0.500 1

=====

4.
# ScPaCrRu, optimized geometry, DFT PBE-GGA
# * VASP energy: -8.822 eV/atom
# * formation energy from the elements: -0.56 eV per formula unit
# * crystal system: cubic
# * density of states at the Fermi level: 4.22 states/eV/f.u.
data_ScPaCrRu
_symmetry_space_group_name_H-M 'F -4 3 m'
_symmetry_Int_Tables_number 216
_symmetry_space_group_name_Hall 'F -4 2 3'
_cell_length_a 6.630
_cell_length_b 6.630
_cell_length_c 6.630
_cell_angle_alpha 90.00
_cell_angle_beta 90.00
_cell_angle_gamma 90.00
loop_
_atom_site_label
_atom_site_type_symbol
_atom_site_fract_x
_atom_site_fract_y
_atom_site_fract_z
_atom_site_occupancy
Sc1 Sc 0.000 0.000 0.000 1
Pa1 Pa 0.000 0.000 0.500 1
Cr1 Cr 0.250 0.250 0.250 1
Ru1 Ru 0.250 0.250 0.750 1

=====

5.
# PaCrSi2Ru5, optimized geometry, DFT PBE-GGA
# * VASP energy: -8.205 eV/atom
# * crystal system: tetragonal
# * formation energy (no corrections): 277 meV/atom
# * density of states at the Fermi level: 8.67 states/eV/f.u.
data_PaCrSi2Ru5
_symmetry_space_group_name_H-M 'P 4/m m m'
_symmetry_Int_Tables_number 123
_symmetry_space_group_name_Hall '-P 4 2'
_cell_length_a 4.150
_cell_length_b 4.150
_cell_length_c 10.982
_cell_angle_alpha 90.00
_cell_angle_beta 90.00
_cell_angle_gamma 90.00
loop_
_atom_site_label
_atom_site_type_symbol
_atom_site_fract_x
_atom_site_fract_y
_atom_site_fract_z
_atom_site_occupancy
Pa1 Pa 0.000 0.000 0.000 1
Cr1 Cr 0.500 0.500 0.500 1
Si1 Si 0.500 0.500 0.275 1
Ru1 Ru 0.000 0.500 0.178 1
Ru2 Ru 0.500 0.500 0.000 1

=====

6.
# PaZnCrRu, optimized geometry, DFT PBE-GGA
# * VASP energy: -7.506 eV/atom
# * formation energy from the elements: -0.35 eV per formula unit
# * crystal system: cubic
# * density of states at the Fermi level: 2.36 states/eV/f.u.
data_PaZnCrRu
_symmetry_space_group_name_H-M 'F -4 3 m'
_symmetry_Int_Tables_number 216
_symmetry_space_group_name_Hall 'F -4 2 3'
_cell_length_a 6.461
_cell_length_b 6.461
_cell_length_c 6.461
_cell_angle_alpha 90.00
_cell_angle_beta 90.00
_cell_angle_gamma 90.00
loop_
_atom_site_label
_atom_site_type_symbol
_atom_site_fract_x
_atom_site_fract_y
_atom_site_fract_z
_atom_site_occupancy
Pa1 Pa 0.000 0.000 0.000 1
Zn1 Zn 0.000 0.000 0.500 1
Cr1 Cr 0.250 0.250 0.250 1
Ru1 Ru 0.250 0.250 0.750 1

=====

7.
# PaCrS6, optimized geometry, DFT PBE-GGA
# * VASP energy: -6.183 eV/atom
# * crystal system: monoclinic
# * formation energy (no corrections): -697 meV/atom
# * density of states at the Fermi level: 2.11 states/eV/f.u.
data_PaCrS6
_symmetry_space_group_name_H-M 'C 1 2/m 1'
_symmetry_Int_Tables_number 12
_cell_length_a 6.740
_cell_length_b 9.699
_cell_length_c 4.927
_cell_angle_alpha 90.00
_cell_angle_beta 105.22
_cell_angle_gamma 90.00
loop_
_symmetry_equiv_pos_as_xyz
'x,y,z'
'-x,-y,-z'
'-x,y,-z'
'x,-y,z'
'x+1/2,y+1/2,z'
'-x+1/2,-y+1/2,-z'
'-x+1/2,y+1/2,-z'
'x+1/2,-y+1/2,z'
loop_
_atom_site_label
_atom_site_type_symbol
_atom_site_fract_x
_atom_site_fract_y
_atom_site_fract_z
_atom_site_occupancy
Pa1 Pa 0.000 0.000 0.000 1
Cr1 Cr 0.000 0.500 0.000 1
S1 S 0.180 0.313 0.823 1
S2 S 0.224 0.000 0.608 1

=====

8.
# Pa3Cr5S12, optimized geometry, DFT PBE-GGA
# * VASP energy: -7.340 eV/atom
# * crystal system: cubic
# * formation energy (no corrections): -1033 meV/atom
# * density of states at the Fermi level: 10.71 states/eV/f.u.
data_Pa3Cr5S12
_symmetry_space_group_name_H-M 'I a -3 d'
_symmetry_Int_Tables_number 230
_symmetry_space_group_name_Hall '-I 4bd 2c 3'
_cell_length_a 14.871
_cell_length_b 14.871
_cell_length_c 14.871
_cell_angle_alpha 90.00
_cell_angle_beta 90.00
_cell_angle_gamma 90.00
loop_
_atom_site_label
_atom_site_type_symbol
_atom_site_fract_x
_atom_site_fract_y
_atom_site_fract_z
_atom_site_occupancy
Pa1 Pa 0.000 0.250 0.125 1
Cr1 Cr 0.000 0.000 0.000 1
Cr2 Cr 0.000 0.250 0.375 1
S1 S 0.025 0.062 0.649 1